Entry 1:
Here is an optimized crystal structure of HfPaMn2 from the Alexandria database. Energies are from PBE.

Computed properties:
* total moment: 0.046 μB per atom
* DFT total energy: -151.16 eV for the cell shown
* polymorph energy (0 for the lowest one): 1.9 kJ/mol of atoms
* energy of formation from the pure elements: 0.00 eV/atom

Cell lengths 6.4899, 6.4899, 6.4899 Å; angles 90.00, 90.00, 90.00 degrees
Last column: nearest neighbours and their distance in Å.
Space group Fm-3m (No. 225)
Symmetry-distinct sites (fractional):
Hf 0.0000 0.0000 0.0000 (multiplicity 4)  8 Mn 2.81
Pa 0.0000 0.0000 0.5000 (multiplicity 4)  8 Mn 2.81
Mn 0.2500 0.2500 0.2500 (multiplicity 8)  4 Pa 2.81, 4 Hf 2.81

***

Entry 2:
Here is an optimized crystal structure of Hf2PaMn from the Alexandria database. Energies are from PBE.

Computed properties:
* total moment: 0.000 μB per atom
* DFT total energy: -155.93 eV for the cell shown
* polymorph energy (0 for the lowest one): 0.0 kJ/mol of atoms
* energy of formation from the pure elements: -0.10 eV/atom

Cell lengths 6.5431, 8.9204, 5.6807 Å; angles 90.00, 90.00, 90.00 degrees
Last column: nearest neighbours and their distance in Å.
Space group Pnma (No. 62)
Symmetry-distinct sites (fractional):
Hf 0.1731 0.0607 0.1641 (multiplicity 8)  3 Mn 2.73-2.99
Pa 0.0502 0.2500 0.6555 (multiplicity 4)  2 Mn 2.31-2.45
Mn 0.1361 0.7500 0.9701 (multiplicity 4)  2 Pa 2.31-2.45

***

Entry 3:
Here is an optimized crystal structure of Hf2PaMn9 from the Alexandria database. Energies are from PBE.

Computed properties:
* total moment: 0.430 μB per atom
* DFT total energy: -226.56 eV for the cell shown
* energy of formation from the pure elements: -0.11 eV/atom

Cell lengths 4.8443, 4.8443, 16.4400 Å; angles 90.00, 90.00, 120.00 degrees
Last column: nearest neighbours and their distance in Å.
Space group P6_3/mmc (No. 194)
Symmetry-distinct sites (fractional):
Hf 0.3333 0.6667 0.0369 (multiplicity 4)  12 Mn 2.80-2.96, 3 Hf 3.05
Pa 0.3333 0.6667 0.2500 (multiplicity 2)  6 Mn 2.80
Mn 0.0000 0.0000 0.0000 (multiplicity 2)  6 Mn 2.47
Mn 0.0000 0.0000 0.2500 (multiplicity 2)  9 Mn 2.53-2.80, 3 Pa 2.80
Mn 0.1699 0.3398 0.6229 (multiplicity 12)  7 Mn 2.38-2.53
Mn 0.3333 0.6667 0.7500 (multiplicity 2)  9 Mn 2.50-2.80, 3 Pa 2.80

***

Entry 4:
Here is an optimized crystal structure of HfPaMn2 from the Alexandria database. Energies are from PBE.

Computed properties:
* total moment: 0.000 μB per atom
* DFT total energy: -37.87 eV for the cell shown
* polymorph energy (0 for the lowest one): 0.0 kJ/mol of atoms
* energy of formation from the pure elements: -0.02 eV/atom

Cell lengths 4.6014, 4.6014, 3.2169 Å; angles 90.00, 90.00, 90.00 degrees
Last column: nearest neighbours and their distance in Å.
Space group P4/mmm (No. 123)
Symmetry-distinct sites (fractional):
Hf 0.0000 0.0000 0.0000 (multiplicity 1)  8 Mn 2.81
Pa 0.5000 0.5000 0.0000 (multiplicity 1)  8 Mn 2.81
Mn 0.0000 0.5000 0.5000 (multiplicity 2)  4 Hf 2.81, 4 Pa 2.81

***

Entry 5:
Here is an optimized crystal structure of Hf2PaMn from the Alexandria database. Energies are from PBE.

Computed properties:
* total moment: 0.000 μB per atom
* DFT total energy: -38.59 eV for the cell shown
* polymorph energy (0 for the lowest one): 9.4 kJ/mol of atoms
* energy of formation from the pure elements: 0.00 eV/atom

Cell lengths 3.1707, 3.1707, 7.9433 Å; angles 90.00, 90.00, 90.00 degrees
Last column: nearest neighbours and their distance in Å.
Space group P4/mmm (No. 123)
Symmetry-distinct sites (fractional):
Hf 0.0000 0.0000 0.1918 (multiplicity 2)  4 Mn 2.71
Pa 0.5000 0.5000 0.5000 (multiplicity 1)  4 Pa 3.17, 8 Hf 3.32
Mn 0.5000 0.5000 0.0000 (multiplicity 1)  8 Hf 2.71

***

Entry 6:
Here is an optimized crystal structure of HfPaMn2 from the Alexandria database. Energies are from PBE.

Computed properties:
* total moment: 0.297 μB per atom
* DFT total energy: -110.26 eV for the cell shown
* polymorph energy (0 for the lowest one): 26.9 kJ/mol of atoms
* energy of formation from the pure elements: 0.26 eV/atom

Cell lengths 3.2606, 3.2606, 22.8364 Å; angles 90.00, 90.00, 120.00 degrees
Last column: nearest neighbours and their distance in Å.
Space group R-3m (No. 166, hexagonal axes)
Symmetry-distinct sites (fractional):
Hf 0.0000 0.0000 0.0000 (multiplicity 3)  6 Mn 2.76
Pa 0.0000 0.0000 0.5000 (multiplicity 3)  6 Mn 2.60
Mn 0.0000 0.0000 0.2450 (multiplicity 6)  3 Pa 2.60, 3 Hf 2.76

***

Entry 7:
Here is an optimized crystal structure of HfPaMnRu from the Alexandria database. Energies are from PBE.

Computed properties:
* total moment: 0.000 μB per atom
* DFT total energy: -155.16 eV for the cell shown
* energy of formation from the pure elements: -0.22 eV/atom

Cell lengths 6.6064, 6.6064, 6.6064 Å; angles 90.00, 90.00, 90.00 degrees
Last column: nearest neighbours and their distance in Å.
Space group F-43m (No. 216)
Symmetry-distinct sites (fractional):
Hf 0.0000 0.0000 0.0000 (multiplicity 4)  4 Mn 2.86, 4 Ru 2.86
Pa 0.0000 0.0000 0.5000 (multiplicity 4)  4 Ru 2.86, 4 Mn 2.86
Mn 0.2500 0.2500 0.7500 (multiplicity 4)  4 Pa 2.86, 4 Hf 2.86
Ru 0.2500 0.2500 0.2500 (multiplicity 4)  4 Hf 2.86, 4 Pa 2.86

***

Entry 8:
Here is an optimized crystal structure of HfPaMn2S8 from the Alexandria database. Energies are from PBE.

Computed properties:
* total moment: 0.584 μB per atom
* DFT total energy: -163.24 eV for the cell shown
* formation energy (no corrections): -0.90 eV/atom

Cell lengths 8.5731, 8.5731, 7.4211 Å; angles 90.00, 90.00, 90.00 degrees
Last column: nearest neighbours and their distance in Å.
Space group I-4m2 (No. 119)
Symmetry-distinct sites (fractional):
Hf 0.0000 0.0000 0.0000 (multiplicity 2)  8 S 2.64-2.69
Pa 0.0000 0.5000 0.7500 (multiplicity 2)  8 S 2.73-2.79
Mn 0.0000 0.0000 0.5000 (multiplicity 2)  4 S 2.23
Mn 0.0000 0.5000 0.2500 (multiplicity 2)  4 S 2.18
S 0.0000 0.1827 0.7139 (multiplicity 8)  1 Mn 2.23
S 0.0000 0.3098 0.0549 (multiplicity 8)  1 Mn 2.18